[1]
First-principles (PBE) data for a relaxed structure of BaZnPt2, as listed in the Alexandria database.

Cell: 3.3531 3.3531 7.3902 Å, 90.00 90.00 90.00°
Atoms (fractional coordinates):
Pt (0.0000, 0.0000, 0.0641)
Pt (0.0000, 0.0000, 0.4359)
Zn (0.5000, 0.5000, 0.2500)
Ba (0.5000, 0.5000, 0.7500)

Computed properties:
* density of states at the Fermi level: 1.49 states/eV/f.u.
* space-group type: P4/mmm, No. 123

[2]
First-principles (PBE) data for a relaxed structure of Ba2ZrPt, as listed in the Alexandria database.

Cell: 4.3841 7.9031 7.9804 Å, 38.44 90.00 90.00°
Atoms (fractional coordinates):
Pt (0.5000, 0.2500, 0.2500)
Ba (0.0000, 0.1054, 0.1055)
Ba (0.0000, 0.3946, 0.3945)
Zr (0.5000, 0.7500, 0.7500)

Computed properties:
* density of states at the Fermi level: 4.44 states/eV/f.u.
* E above lowest polymorph: 215 meV per atom
* space-group type: P2/m, No. 10

[3]
First-principles (PBE) data for a relaxed structure of Ba2ZrPt, as listed in the Alexandria database.

Cell: 4.1022 5.4964 7.0126 Å, 66.93 90.00 90.00°
Atoms (fractional coordinates):
Pt (0.0000, 0.6996, 0.4780)
Zr (0.5000, 0.5755, 0.7233)
Ba (0.0000, 0.9639, 0.9456)
Ba (0.5000, 0.2610, 0.3531)

Computed properties:
* density of states at the Fermi level: 7.06 states/eV/f.u.
* E above lowest polymorph: 107 meV per atom
* space-group type: Pm, No. 6

[4]
First-principles (PBE) data for a relaxed structure of Ba2ZrPt, as listed in the Alexandria database.

Cell: 4.3779 4.7483 5.5031 Å, 90.00 90.00 90.00°
Atoms (fractional coordinates):
Pt (0.5000, 0.0000, 0.5000)
Ba (0.0000, 0.0000, 0.0000)
Zr (0.0000, 0.5000, 0.5000)
Ba (0.5000, 0.5000, 0.0000)

Computed properties:
* density of states at the Fermi level: 5.28 states/eV/f.u.
* E above lowest polymorph: 573 meV per atom
* space-group type: Pmmm, No. 47

[5]
First-principles (PBE) data for a relaxed structure of BaZr3Pt, as listed in the Alexandria database.

Cell: 5.2801 5.2801 5.2801 Å, 90.00 90.00 90.00°
Atoms (fractional coordinates):
Ba (0.5000, 0.5000, 0.5000)
Zr (0.0000, 0.5000, 0.0000)
Pt (0.0000, 0.0000, 0.0000)
Zr (0.5000, 0.0000, 0.0000)
Zr (0.0000, 0.0000, 0.5000)

Computed properties:
* density of states at the Fermi level: 5.97 states/eV/f.u.
* E above lowest polymorph: 0 meV per atom
* space-group type: Pm-3m, No. 221

[6]
First-principles (PBE) data for a relaxed structure of BaZrPt2, as listed in the Alexandria database.

Cell: 6.3049 6.3049 6.3049 Å, 149.39 132.67 57.43°
Atoms (fractional coordinates):
Pt (0.2573, 0.7573, 0.5000)
Zr (0.4607, 0.4607, 0.0000)
Ba (0.7531, 0.2531, 0.5000)
Pt (0.0289, 0.0289, 0.0000)

Computed properties:
* density of states at the Fermi level: 3.30 states/eV/f.u.
* E above lowest polymorph: 504 meV per atom
* space-group type: Imm2, No. 44

[7]
First-principles (PBE) data for a relaxed structure of BaZrPt2, as listed in the Alexandria database.

Cell: 3.6801 3.6801 7.5983 Å, 90.00 90.00 90.00°
Atoms (fractional coordinates):
Zr (0.0000, 0.0000, 0.3871)
Pt (0.5000, 0.5000, 0.2647)
Ba (0.5000, 0.5000, 0.7970)
Pt (0.0000, 0.0000, 0.0511)

Computed properties:
* density of states at the Fermi level: 3.06 states/eV/f.u.
* E above lowest polymorph: 407 meV per atom
* space-group type: P4mm, No. 99

[8]
First-principles (PBE) data for a relaxed structure of Ba2ZrPt, as listed in the Alexandria database.

Cell: 3.7384 3.7384 9.6845 Å, 90.00 90.00 90.02°
Atoms (fractional coordinates):
Ba (0.0000, 0.0000, 0.4481)
Zr (0.5000, 0.5000, 0.7500)
Ba (0.0000, 0.0000, 0.0519)
Pt (0.5000, 0.5000, 0.2500)

Computed properties:
* density of states at the Fermi level: 3.09 states/eV/f.u.
* E above lowest polymorph: 380 meV per atom
* space-group type: P4/mmm, No. 123

| no. | energy of formation (eV/f.u.) |
| --- | --- |
| 1 | -1.44 |
| 2 | -0.17 |
| 3 | -0.60 |
| 4 | 1.26 |
| 5 | 0.68 |
| 6 | -1.24 |
| 7 | -1.63 |
| 8 | 0.49 |